[1]
! IF PBE optimized geometry; values from VASP
&SYSTEM
  ibrav = 0, nat = 12, ntyp = 2
/
ATOMIC_SPECIES
I 126.90 I.upf
F 19.00 F.upf
CELL_PARAMETERS angstrom
10.898 0.000 0.000
-5.449 9.438 0.000
0.000 0.000 4.582
ATOMIC_POSITIONS crystal
I 0.201 0.493 0.250
I 0.292 0.799 0.250
I 0.493 0.292 0.750
I 0.507 0.708 0.250
I 0.708 0.201 0.750
I 0.799 0.507 0.750
F 0.013 0.628 0.750
F 0.372 0.384 0.750
F 0.384 0.013 0.250
F 0.616 0.987 0.750
F 0.628 0.616 0.250
F 0.987 0.372 0.250
! Total DFT energy (no corrections) = -2.521 eV per atom
! Size of the total moment = 0.00 μB/f.u.
! Formation energy without anion corrections = -1.6 eV/f.u.


[2]
! I3F PBE optimized geometry; values from VASP
&SYSTEM
  ibrav = 0, nat = 4, ntyp = 2
/
ATOMIC_SPECIES
I 126.90 I.upf
F 19.00 F.upf
CELL_PARAMETERS angstrom
-2.048 4.051 4.298
2.048 -4.051 4.298
2.048 4.051 -4.298
ATOMIC_POSITIONS crystal
I 0.000 0.000 0.000
I 0.275 0.500 0.775
I 0.725 0.500 0.225
F 0.500 0.000 0.500
! Total DFT energy (no corrections) = -1.849 eV per atom
! Size of the total moment = 0.00 μB/f.u.
! Formation energy without anion corrections = -0.9 eV/f.u.


[3]
! IF PBE optimized geometry; values from VASP
&SYSTEM
  ibrav = 0, nat = 8, ntyp = 2
/
ATOMIC_SPECIES
I 126.90 I.upf
F 19.00 F.upf
CELL_PARAMETERS angstrom
-4.072 4.072 4.072
4.072 -4.072 4.072
4.072 4.072 -4.072
ATOMIC_POSITIONS crystal
I 0.000 0.000 0.457
I 0.000 0.457 0.000
I 0.457 0.000 0.000
I 0.543 0.543 0.543
F 0.000 0.000 0.737
F 0.000 0.737 0.000
F 0.263 0.263 0.263
F 0.737 0.000 0.000
! Total DFT energy (no corrections) = -2.289 eV per atom
! Size of the total moment = 0.00 μB/f.u.
! Formation energy without anion corrections = -1.2 eV/f.u.


[4]
! IF3 PBE optimized geometry; values from VASP
&SYSTEM
  ibrav = 0, nat = 4, ntyp = 2
/
ATOMIC_SPECIES
I 126.90 I.upf
F 19.00 F.upf
CELL_PARAMETERS angstrom
1.686 0.973 7.292
-1.686 0.973 7.292
0.000 -1.947 7.292
ATOMIC_POSITIONS crystal
I 0.000 0.000 0.000
F 0.419 0.419 0.419
F 0.500 0.500 0.500
F 0.581 0.581 0.581
! Total DFT energy (no corrections) = -1.843 eV per atom
! Size of the total moment = 0.00 μB/f.u.
! Formation energy without anion corrections = -0.2 eV/f.u.


[5]
! IF PBE optimized geometry; values from VASP
&SYSTEM
  ibrav = 0, nat = 16, ntyp = 2
/
ATOMIC_SPECIES
I 126.90 I.upf
F 19.00 F.upf
CELL_PARAMETERS angstrom
10.573 0.000 0.000
0.000 10.573 0.000
0.000 0.000 4.858
ATOMIC_POSITIONS crystal
I 0.040 0.802 0.000
I 0.198 0.040 0.000
I 0.314 0.357 0.500
I 0.357 0.686 0.500
I 0.643 0.314 0.500
I 0.686 0.643 0.500
I 0.802 0.960 0.000
I 0.960 0.198 0.000
F 0.067 0.354 0.000
F 0.209 0.559 0.500
F 0.354 0.933 0.000
F 0.441 0.209 0.500
F 0.559 0.791 0.500
F 0.646 0.067 0.000
F 0.791 0.441 0.500
F 0.933 0.646 0.000
! Total DFT energy (no corrections) = -2.411 eV per atom
! Size of the total moment = 0.00 μB/f.u.
! Formation energy without anion corrections = -1.4 eV/f.u.


[6]
! IF PBE optimized geometry; values from VASP
&SYSTEM
  ibrav = 0, nat = 16, ntyp = 2
/
ATOMIC_SPECIES
I 126.90 I.upf
F 19.00 F.upf
CELL_PARAMETERS angstrom
7.863 0.000 0.000
0.000 8.063 0.000
0.000 0.000 8.141
ATOMIC_POSITIONS crystal
I 0.119 0.035 0.385
I 0.242 0.503 0.149
I 0.258 0.497 0.649
I 0.381 0.965 0.885
I 0.619 0.465 0.615
I 0.742 0.997 0.851
I 0.758 0.003 0.351
I 0.881 0.535 0.115
F 0.123 0.937 0.909
F 0.231 0.601 0.402
F 0.269 0.399 0.902
F 0.377 0.063 0.409
F 0.623 0.563 0.091
F 0.731 0.899 0.598
F 0.769 0.101 0.098
F 0.877 0.437 0.591
! Total DFT energy (no corrections) = -2.471 eV per atom
! Size of the total moment = 0.00 μB/f.u.
! Formation energy without anion corrections = -1.5 eV/f.u.


[7]
! IF PBE optimized geometry; values from VASP
&SYSTEM
  ibrav = 0, nat = 2, ntyp = 2
/
ATOMIC_SPECIES
I 126.90 I.upf
F 19.00 F.upf
CELL_PARAMETERS angstrom
3.129 0.000 0.000
-0.425 4.535 0.000
-1.343 -2.227 4.020
ATOMIC_POSITIONS crystal
I 0.000 0.000 0.000
F 0.000 0.500 0.000
! Total DFT energy (no corrections) = -2.379 eV per atom
! Size of the total moment = 0.00 μB/f.u.
! Formation energy without anion corrections = -1.3 eV/f.u.


[8]
! IF PBE optimized geometry; values from VASP
&SYSTEM
  ibrav = 0, nat = 8, ntyp = 2
/
ATOMIC_SPECIES
I 126.90 I.upf
F 19.00 F.upf
CELL_PARAMETERS angstrom
0.000 5.122 7.113
3.889 0.000 7.113
3.889 5.122 0.000
ATOMIC_POSITIONS crystal
I 0.124 0.124 0.626
I 0.374 0.374 0.876
I 0.626 0.626 0.124
I 0.876 0.876 0.374
F 0.218 0.532 0.218
F 0.468 0.782 0.468
F 0.532 0.218 0.532
F 0.782 0.468 0.782
! Total DFT energy (no corrections) = -2.414 eV per atom
! Size of the total moment = 0.00 μB/f.u.
! Formation energy without anion corrections = -1.4 eV/f.u.


[9]
! IF PBE optimized geometry; values from VASP
&SYSTEM
  ibrav = 0, nat = 8, ntyp = 2
/
ATOMIC_SPECIES
I 126.90 I.upf
F 19.00 F.upf
CELL_PARAMETERS angstrom
-5.340 5.340 2.317
5.340 -5.340 2.317
5.340 5.340 -2.317
ATOMIC_POSITIONS crystal
I 0.002 0.803 0.805
I 0.197 0.002 0.199
I 0.803 0.998 0.801
I 0.998 0.197 0.195
F 0.135 0.328 0.463
F 0.328 0.865 0.193
F 0.672 0.135 0.807
F 0.865 0.672 0.537
! Total DFT energy (no corrections) = -2.526 eV per atom
! Size of the total moment = 0.00 μB/f.u.
! Formation energy without anion corrections = -1.6 eV/f.u.


[10]
! IF PBE optimized geometry; values from VASP
&SYSTEM
  ibrav = 0, nat = 8, ntyp = 2
/
ATOMIC_SPECIES
I 126.90 I.upf
F 19.00 F.upf
CELL_PARAMETERS angstrom
7.793 0.000 0.000
0.000 7.793 0.000
0.000 0.000 4.290
ATOMIC_POSITIONS crystal
I 0.212 0.212 0.000
I 0.288 0.712 0.500
I 0.712 0.288 0.500
I 0.788 0.788 0.000
F 0.186 0.186 0.500
F 0.314 0.686 0.000
F 0.686 0.314 0.000
F 0.814 0.814 0.500
! Total DFT energy (no corrections) = -2.337 eV per atom
! Size of the total moment = 0.00 μB/f.u.
! Formation energy without anion corrections = -1.3 eV/f.u.


[11]
! InI2F PBE optimized geometry; values from VASP
&SYSTEM
  ibrav = 0, nat = 4, ntyp = 3
/
ATOMIC_SPECIES
In 114.82 In.upf
I 126.90 I.upf
F 19.00 F.upf
CELL_PARAMETERS angstrom
-2.079 2.181 7.654
2.079 -2.181 7.654
2.079 2.181 -7.654
ATOMIC_POSITIONS crystal
In 0.000 0.000 0.000
I 0.134 0.634 0.500
I 0.866 0.366 0.500
F 0.500 0.000 0.500
! Total DFT energy (no corrections) = -3.065 eV per atom
! Size of the total moment = 0.00 μB/f.u.
! Formation energy without anion corrections = -4.6 eV/f.u.


[12]
! InI3F PBE optimized geometry; values from VASP
&SYSTEM
  ibrav = 0, nat = 5, ntyp = 3
/
ATOMIC_SPECIES
In 114.82 In.upf
I 126.90 I.upf
F 19.00 F.upf
CELL_PARAMETERS angstrom
5.868 0.000 0.000
0.000 5.868 0.000
0.000 0.000 5.868
ATOMIC_POSITIONS crystal
In 0.000 0.000 0.000
I 0.000 0.000 0.500
I 0.000 0.500 0.000
I 0.500 0.000 0.000
F 0.500 0.500 0.500
! Total DFT energy (no corrections) = -1.959 eV per atom
! Size of the total moment = 1.08 μB/f.u.
! Formation energy without anion corrections = -0.5 eV/f.u.


[13]
! In2IF PBE optimized geometry; values from VASP
&SYSTEM
  ibrav = 0, nat = 4, ntyp = 3
/
ATOMIC_SPECIES
In 114.82 In.upf
I 126.90 I.upf
F 19.00 F.upf
CELL_PARAMETERS angstrom
3.809 0.000 0.000
0.000 3.809 0.000
0.000 0.000 7.674
ATOMIC_POSITIONS crystal
In 0.000 0.000 0.205
In 0.000 0.000 0.795
I 0.500 0.500 0.500
F 0.500 0.500 0.000
! Total DFT energy (no corrections) = -3.081 eV per atom
! Size of the total moment = 0.00 μB/f.u.
! Formation energy without anion corrections = -3.4 eV/f.u.


[14]
! In2IF PBE optimized geometry; values from VASP
&SYSTEM
  ibrav = 0, nat = 16, ntyp = 3
/
ATOMIC_SPECIES
In 114.82 In.upf
I 126.90 I.upf
F 19.00 F.upf
CELL_PARAMETERS angstrom
9.904 0.000 0.000
0.000 4.618 0.000
-0.993 0.000 11.178
ATOMIC_POSITIONS crystal
In 0.033 0.204 0.145
In 0.033 0.296 0.645
In 0.356 0.224 0.938
In 0.356 0.276 0.438
In 0.644 0.724 0.562
In 0.644 0.776 0.062
In 0.967 0.704 0.355
In 0.967 0.796 0.855
I 0.310 0.732 0.721
I 0.310 0.768 0.221
I 0.690 0.232 0.779
I 0.690 0.268 0.279
F 0.115 0.172 0.953
F 0.115 0.328 0.453
F 0.885 0.672 0.547
F 0.885 0.828 0.047
! Total DFT energy (no corrections) = -3.275 eV per atom
! Size of the total moment = 0.00 μB/f.u.
! Formation energy without anion corrections = -4.2 eV/f.u.


[15]
! In3I2F PBE optimized geometry; values from VASP
&SYSTEM
  ibrav = 0, nat = 6, ntyp = 3
/
ATOMIC_SPECIES
In 114.82 In.upf
I 126.90 I.upf
F 19.00 F.upf
CELL_PARAMETERS angstrom
4.669 0.000 0.000
2.334 6.579 0.000
2.333 -0.291 6.574
ATOMIC_POSITIONS crystal
In 0.000 0.000 0.000
In 0.150 0.353 0.349
In 0.361 0.642 0.639
I 0.746 0.006 0.504
I 0.749 0.504 0.000
F 0.397 0.104 0.104
! Total DFT energy (no corrections) = -3.041 eV per atom
! Size of the total moment = 0.00 μB/f.u.
! Formation energy without anion corrections = -5.1 eV/f.u.


[16]
! In2IF PBE optimized geometry; values from VASP
&SYSTEM
  ibrav = 0, nat = 4, ntyp = 3
/
ATOMIC_SPECIES
In 114.82 In.upf
I 126.90 I.upf
F 19.00 F.upf
CELL_PARAMETERS angstrom
3.762 -2.177 0.000
3.762 2.177 0.000
-2.513 0.000 7.467
ATOMIC_POSITIONS crystal
In 0.000 0.000 0.000
In 0.213 0.213 0.636
I 0.765 0.765 0.294
F 0.588 0.588 0.762
! Total DFT energy (no corrections) = -3.179 eV per atom
! Size of the total moment = 0.00 μB/f.u.
! Formation energy without anion corrections = -3.8 eV/f.u.


[17]
! InI2F PBE optimized geometry; values from VASP
&SYSTEM
  ibrav = 0, nat = 8, ntyp = 3
/
ATOMIC_SPECIES
In 114.82 In.upf
I 126.90 I.upf
F 19.00 F.upf
CELL_PARAMETERS angstrom
-3.783 3.783 4.220
3.783 -3.783 4.220
3.783 3.783 -4.220
ATOMIC_POSITIONS crystal
In 0.000 0.000 0.000
In 0.750 0.250 0.500
I 0.118 0.625 0.993
I 0.375 0.368 0.493
I 0.632 0.125 0.007
I 0.875 0.882 0.507
F 0.250 0.750 0.500
F 0.500 0.500 0.000
! Total DFT energy (no corrections) = -2.484 eV per atom
! Size of the total moment = 0.00 μB/f.u.
! Formation energy without anion corrections = -2.2 eV/f.u.


[18]
! InIF PBE optimized geometry; values from VASP
&SYSTEM
  ibrav = 0, nat = 6, ntyp = 3
/
ATOMIC_SPECIES
In 114.82 In.upf
I 126.90 I.upf
F 19.00 F.upf
CELL_PARAMETERS angstrom
6.863 0.000 0.000
0.000 4.314 0.000
-0.278 0.000 7.490
ATOMIC_POSITIONS crystal
In 0.092 0.000 0.230
In 0.908 0.000 0.770
I 0.415 0.500 0.660
I 0.585 0.500 0.340
F 0.186 0.000 0.945
F 0.814 0.000 0.055
! Total DFT energy (no corrections) = -3.029 eV per atom
! Size of the total moment = 0.00 μB/f.u.
! Formation energy without anion corrections = -2.9 eV/f.u.


[19]
! InIF2 PBE optimized geometry; values from VASP
&SYSTEM
  ibrav = 0, nat = 4, ntyp = 3
/
ATOMIC_SPECIES
In 114.82 In.upf
I 126.90 I.upf
F 19.00 F.upf
CELL_PARAMETERS angstrom
0.000 3.314 3.314
3.314 0.000 3.314
3.314 3.314 0.000
ATOMIC_POSITIONS crystal
In 0.000 0.000 0.000
I 0.500 0.500 0.500
F 0.250 0.250 0.250
F 0.750 0.750 0.750
! Total DFT energy (no corrections) = -2.848 eV per atom
! Size of the total moment = 0.00 μB/f.u.
! Formation energy without anion corrections = -3.4 eV/f.u.


[20]
! InIF2 PBE optimized geometry; values from VASP
&SYSTEM
  ibrav = 0, nat = 8, ntyp = 3
/
ATOMIC_SPECIES
In 114.82 In.upf
I 126.90 I.upf
F 19.00 F.upf
CELL_PARAMETERS angstrom
-2.726 2.726 6.367
2.726 -2.726 6.367
2.726 2.726 -6.367
ATOMIC_POSITIONS crystal
In 0.375 0.625 0.750
In 0.625 0.375 0.250
I 0.125 0.875 0.250
I 0.875 0.125 0.750
F 0.000 0.500 0.500
F 0.500 0.000 0.000
F 0.500 0.500 0.000
F 0.500 0.500 0.500
! Total DFT energy (no corrections) = -3.398 eV per atom
! Size of the total moment = 0.00 μB/f.u.
! Formation energy without anion corrections = -5.6 eV/f.u.


[21]
! In2IF PBE optimized geometry; values from VASP
&SYSTEM
  ibrav = 0, nat = 4, ntyp = 3
/
ATOMIC_SPECIES
In 114.82 In.upf
I 126.90 I.upf
F 19.00 F.upf
CELL_PARAMETERS angstrom
0.000 3.919 3.919
3.919 0.000 3.919
3.919 3.919 0.000
ATOMIC_POSITIONS crystal
In 0.250 0.250 0.250
In 0.750 0.750 0.750
I 0.000 0.000 0.000
F 0.500 0.500 0.500
! Total DFT energy (no corrections) = -2.984 eV per atom
! Size of the total moment = 0.00 μB/f.u.
! Formation energy without anion corrections = -3.0 eV/f.u.


[22]
! InI2F PBE optimized geometry; values from VASP
&SYSTEM
  ibrav = 0, nat = 4, ntyp = 3
/
ATOMIC_SPECIES
In 114.82 In.upf
I 126.90 I.upf
F 19.00 F.upf
CELL_PARAMETERS angstrom
0.000 3.695 3.695
3.695 0.000 3.695
3.695 3.695 0.000
ATOMIC_POSITIONS crystal
In 0.000 0.000 0.000
I 0.250 0.250 0.250
I 0.750 0.750 0.750
F 0.500 0.500 0.500
! Total DFT energy (no corrections) = -2.320 eV per atom
! Size of the total moment = 0.00 μB/f.u.
! Formation energy without anion corrections = -1.6 eV/f.u.


[23]
! InI3F PBE optimized geometry; values from VASP
&SYSTEM
  ibrav = 0, nat = 5, ntyp = 3
/
ATOMIC_SPECIES
In 114.82 In.upf
I 126.90 I.upf
F 19.00 F.upf
CELL_PARAMETERS angstrom
5.455 0.000 0.000
0.000 5.455 0.000
0.000 0.000 5.455
ATOMIC_POSITIONS crystal
In 0.000 0.000 0.000
I 0.000 0.500 0.500
I 0.500 0.000 0.500
I 0.500 0.500 0.000
F 0.500 0.500 0.500
! Total DFT energy (no corrections) = -1.956 eV per atom
! Size of the total moment = 0.00 μB/f.u.
! Formation energy without anion corrections = -0.5 eV/f.u.


[24]
! InIF PBE optimized geometry; values from VASP
&SYSTEM
  ibrav = 0, nat = 6, ntyp = 3
/
ATOMIC_SPECIES
In 114.82 In.upf
I 126.90 I.upf
F 19.00 F.upf
CELL_PARAMETERS angstrom
2.533 -12.373 0.000
2.533 12.373 0.000
-2.265 0.000 2.585
ATOMIC_POSITIONS crystal
In 0.060 0.940 0.000
In 0.940 0.060 0.000
I 0.174 0.826 0.000
I 0.826 0.174 0.000
F 0.439 0.561 0.000
F 0.561 0.439 0.000
! Total DFT energy (no corrections) = -3.135 eV per atom
! Size of the total moment = 0.00 μB/f.u.
! Formation energy without anion corrections = -3.2 eV/f.u.